LiEuScTl: relaxed, GGA-PBE.

As for the magnetic moment: 28.98 Bohr magnetons per cell. As for the formation enthalpy at 0 K: -0.13 eV/atom. The calculation puts the total energy at -5.35 eV/atom. The value obtained for the density of states at the Fermi level is 8.67 states/eV/f.u.

The space group is F-43m (No. 216) and the conventional cell measures 7.4764, 7.4764 and 7.4764 Å, with angles of 90.00, 90.00 and 90.00 degrees. The distinct sites, in fractional coordinates, are Li at (0.0000, 0.0000, 0.0000), Eu at (0.2500, 0.2500, 0.2500), Sc at (0.2500, 0.2500, 0.7500) and Tl at (0.0000, 0.0000, 0.5000).